VASP calculation (GGA-PBE) on crystalline PmSmSbAu at its relaxed geometry.

Calculated values
Energy   -80.35 eV for the cell shown
Total moment   0.000 μB per cell
Crystal system   cubic
Raw formation energy   -77.6 kJ per mole of atoms

Cell lengths 7.5264, 7.5264, 7.5264 Å; angles 90.00, 90.00, 90.00 degrees
With the nearest neighbours (Å) after each atom.
Fractional positions:
Pm: 0.0000 0.0000 0.0000  4 Sb 3.26, 4 Au 3.26
Pm: 0.0000 0.5000 0.5000  4 Sb 3.26, 4 Au 3.26
Pm: 0.5000 0.0000 0.5000  4 Sb 3.26, 4 Au 3.26
Pm: 0.5000 0.5000 0.0000  4 Sb 3.26, 4 Au 3.26
Sm: 0.0000 0.0000 0.5000  4 Sb 3.26, 4 Au 3.26
Sm: 0.0000 0.5000 0.0000  4 Sb 3.26, 4 Au 3.26
Sm: 0.5000 0.0000 0.0000  4 Sb 3.26, 4 Au 3.26
Sm: 0.5000 0.5000 0.5000  4 Sb 3.26, 4 Au 3.26
Sb: 0.2500 0.2500 0.2500  4 Pm 3.26, 4 Sm 3.26
Sb: 0.2500 0.7500 0.7500  4 Pm 3.26, 4 Sm 3.26
Sb: 0.7500 0.2500 0.7500  4 Pm 3.26, 4 Sm 3.26
Sb: 0.7500 0.7500 0.2500  4 Pm 3.26, 4 Sm 3.26
Au: 0.2500 0.2500 0.7500  4 Pm 3.26, 4 Sm 3.26
Au: 0.2500 0.7500 0.2500  4 Pm 3.26, 4 Sm 3.26
Au: 0.7500 0.2500 0.2500  4 Pm 3.26, 4 Sm 3.26
Au: 0.7500 0.7500 0.7500  4 Pm 3.26, 4 Sm 3.26

=====

VASP calculation (GGA-PBE) on crystalline NaGaB2P at its relaxed geometry.

Calculated values
E_form   1.48 eV per atom
Energy   -15.73 eV for the cell shown
Total moment   0.330 μB per cell
Crystal system   tetragonal

Cell lengths 4.0898, 4.0898, 5.2237 Å; angles 90.00, 90.00, 90.00 degrees
With the nearest neighbours (Å) after each atom.
Fractional positions:
Na: 0.0000 0.0000 0.0000  2 Ga 2.61, 4 P 2.89
Ga: 0.0000 0.0000 0.5000  4 B 2.04
B: 0.0000 0.5000 0.5000  2 Ga 2.04
B: 0.5000 0.0000 0.5000  2 Ga 2.04
P: 0.5000 0.5000 0.0000  4 Na 2.89

=====

VASP calculation (GGA-PBE) on crystalline Si2HgRu at its relaxed geometry.

Calculated values
Energy   -37.13 eV for the cell shown
Total moment   0.000 μB per cell
Crystal system   orthorhombic
Raw formation energy   44.8 kJ per mole of atoms

Cell lengths 6.3539, 6.3718, 3.1146 Å; angles 90.00, 90.00, 90.00 degrees
With the nearest neighbours (Å) after each atom.
Fractional positions:
Si: 0.2500 0.2500 0.0000  4 Hg 2.74, 4 Ru 2.74
Si: 0.2500 0.7500 0.0000  4 Hg 2.74, 4 Ru 2.74
Si: 0.7500 0.2500 0.0000  4 Hg 2.74, 4 Ru 2.74
Si: 0.7500 0.7500 0.0000  4 Hg 2.74, 4 Ru 2.74
Hg: 0.0000 0.0000 0.5000  8 Si 2.74
Hg: 0.5000 0.5000 0.5000  8 Si 2.74
Ru: 0.0000 0.5000 0.5000  8 Si 2.74
Ru: 0.5000 0.0000 0.5000  8 Si 2.74

=====

VASP calculation (GGA-PBE) on crystalline BaCuRu2 at its relaxed geometry.

Calculated values
E above lowest polymorph   863 meV per atom
E_form   1.07 eV per atom
Energy   -40.62 eV for the cell shown
Total moment   5.189 μB per cell
Crystal system   tetragonal

Cell lengths 4.1744, 4.1744, 8.8691 Å; angles 90.00, 90.00, 90.00 degrees
With the nearest neighbours (Å) after each atom.
Fractional positions:
Ba: 0.0000 0.0000 0.0000  4 Cu 2.95, 8 Ru 3.05
Ba: 0.5000 0.5000 0.5000  4 Cu 2.95, 8 Ru 3.05
Cu: 0.0000 0.0000 0.5000  4 Ba 2.95, 8 Ru 3.05
Cu: 0.5000 0.5000 0.0000  4 Ba 2.95, 8 Ru 3.05
Ru: 0.0000 0.5000 0.2500  4 Ru 2.95, 4 Ba 3.05, 4 Cu 3.05
Ru: 0.0000 0.5000 0.7500  4 Ru 2.95, 4 Ba 3.05, 4 Cu 3.05
Ru: 0.5000 0.0000 0.2500  4 Ru 2.95, 4 Ba 3.05, 4 Cu 3.05
Ru: 0.5000 0.0000 0.7500  4 Ru 2.95, 4 Ba 3.05, 4 Cu 3.05

=====

VASP calculation (GGA-PBE) on crystalline CrTc2W at its relaxed geometry.

Calculated values
E_form   0.25 eV per atom
Energy   -126.98 eV for the cell shown
Total moment   0.001 μB per cell
Crystal system   trigonal

Cell lengths 2.7528, 2.7528, 26.4608 Å; angles 90.00, 90.00, 120.00 degrees
With the nearest neighbours (Å) after each atom.
Fractional positions:
Cr: 0.0000 0.0000 0.0000  6 Tc 2.60, 6 Cr 2.75
Cr: 0.3333 0.6667 0.6667  6 Tc 2.60, 6 Cr 2.75
Cr: 0.6667 0.3333 0.3333  6 Tc 2.60, 6 Cr 2.75
Tc: 0.0000 0.0000 0.2555  3 Cr 2.60, 6 Tc 2.75, 3 W 2.84
Tc: 0.0000 0.0000 0.7445  3 Cr 2.60, 6 Tc 2.75, 3 W 2.84
Tc: 0.3333 0.6667 0.4112  3 Cr 2.60, 6 Tc 2.75, 3 W 2.84
Tc: 0.3333 0.6667 0.9221  3 Cr 2.60, 6 Tc 2.75, 3 W 2.84
Tc: 0.6667 0.3333 0.0779  3 Cr 2.60, 6 Tc 2.75, 3 W 2.84
Tc: 0.6667 0.3333 0.5888  3 Cr 2.60, 6 Tc 2.75, 3 W 2.84
W: 0.0000 0.0000 0.5000  6 W 2.75, 6 Tc 2.84
W: 0.3333 0.6667 0.1667  6 W 2.75, 6 Tc 2.84
W: 0.6667 0.3333 0.8333  6 W 2.75, 6 Tc 2.84

=====

VASP calculation (GGA-PBE) on crystalline LiSmPd at its relaxed geometry.

Calculated values
E above lowest polymorph   0 meV per atom
E_form   -0.57 eV per atom
Energy   -40.59 eV for the cell shown
Total moment   0.000 μB per cell
Crystal system   hexagonal

Cell lengths 7.2705, 7.2705, 4.1531 Å; angles 90.00, 90.00, 120.00 degrees
With the nearest neighbours (Å) after each atom.
Fractional positions:
Li: 0.0000 0.7675 0.0000  4 Pd 2.68-2.86, 2 Li 2.93
Li: 0.2325 0.2325 0.0000  4 Pd 2.68-2.86, 2 Li 2.93
Li: 0.7675 0.0000 0.0000  4 Pd 2.68-2.86, 2 Li 2.93
Sm: 0.0000 0.4119 0.5000  5 Pd 2.99-3.02, 6 Li 3.32-3.33
Sm: 0.4119 0.0000 0.5000  5 Pd 2.99-3.02, 6 Li 3.32-3.33
Sm: 0.5881 0.5881 0.5000  5 Pd 2.99-3.02, 6 Li 3.32-3.33
Pd: 0.0000 0.0000 0.5000  6 Li 2.68, 3 Sm 2.99
Pd: 0.3333 0.6667 0.0000  3 Li 2.86, 6 Sm 3.02
Pd: 0.6667 0.3333 0.0000  3 Li 2.86, 6 Sm 3.02

=====

VASP calculation (GGA-PBE) on crystalline LiCoIrC at its relaxed geometry.

Calculated values
E_form   0.72 eV per atom
Energy   -96.98 eV for the cell shown
Total moment   0.000 μB per cell
Crystal system   cubic

Cell lengths 5.3271, 5.3271, 5.3271 Å; angles 90.00, 90.00, 90.00 degrees
With the nearest neighbours (Å) after each atom.
Fractional positions:
Li: 0.0000 0.0000 0.0000  4 Co 2.31, 4 Ir 2.31
Li: 0.0000 0.5000 0.5000  4 Co 2.31, 4 Ir 2.31
Li: 0.5000 0.0000 0.5000  4 Co 2.31, 4 Ir 2.31
Li: 0.5000 0.5000 0.0000  4 Co 2.31, 4 Ir 2.31
Co: 0.2500 0.2500 0.7500  4 Li 2.31, 4 C 2.31
Co: 0.2500 0.7500 0.2500  4 Li 2.31, 4 C 2.31
Co: 0.7500 0.2500 0.2500  4 Li 2.31, 4 C 2.31
Co: 0.7500 0.7500 0.7500  4 Li 2.31, 4 C 2.31
Ir: 0.2500 0.2500 0.2500  4 Li 2.31, 4 C 2.31
Ir: 0.2500 0.7500 0.7500  4 Li 2.31, 4 C 2.31
Ir: 0.7500 0.2500 0.7500  4 Li 2.31, 4 C 2.31
Ir: 0.7500 0.7500 0.2500  4 Li 2.31, 4 C 2.31
C: 0.0000 0.0000 0.5000  4 Co 2.31, 4 Ir 2.31
C: 0.0000 0.5000 0.0000  4 Co 2.31, 4 Ir 2.31
C: 0.5000 0.0000 0.0000  4 Co 2.31, 4 Ir 2.31
C: 0.5000 0.5000 0.5000  4 Co 2.31, 4 Ir 2.31

=====

VASP calculation (GGA-PBE) on crystalline SmCu4Pt4 at its relaxed geometry.

Calculated values
E_form   -0.19 eV per atom
Energy   -46.93 eV for the cell shown
Total moment   0.000 μB per cell
Crystal system   tetragonal

Cell lengths 6.1667, 6.1667, 6.1667 Å; angles 98.01, 98.01, 136.15 degrees
With the nearest neighbours (Å) after each atom.
Fractional positions:
Sm: 0.0000 0.0000 0.0000  4 Pt 2.96, 8 Cu 3.16
Cu: 0.2659 0.3708 0.6367  5 Pt 2.49-2.78
Cu: 0.3708 0.7341 0.1050  5 Pt 2.49-2.78
Cu: 0.6292 0.2659 0.8950  5 Pt 2.49-2.78
Cu: 0.7341 0.6292 0.3633  5 Pt 2.49-2.78
Pt: 0.0773 0.6429 0.7202  5 Cu 2.49-2.78, 1 Pt 2.63
Pt: 0.3571 0.0773 0.4344  5 Cu 2.49-2.78, 1 Pt 2.63
Pt: 0.6429 0.9227 0.5656  5 Cu 2.49-2.78, 1 Pt 2.63
Pt: 0.9227 0.3571 0.2798  5 Cu 2.49-2.78, 1 Pt 2.63

=====

VASP calculation (GGA-PBE) on crystalline Tl3Cl at its relaxed geometry.

Calculated values
E above lowest polymorph   25 meV per atom
Energy   -20.70 eV for the cell shown
Total moment   0.000 μB per cell
Crystal system   orthorhombic
Raw formation energy   -33.9 kJ per mole of atoms

Cell lengths 4.0001, 5.2011, 12.0574 Å; angles 90.00, 90.00, 90.00 degrees
With the nearest neighbours (Å) after each atom.
Fractional positions:
Tl: 0.0000 0.0000 0.0000  4 Cl 3.28
Tl: 0.0000 0.5000 0.2202  2 Cl 3.32, 6 Tl 3.36-3.72
Tl: 0.0000 0.5000 0.7798  2 Cl 3.32, 6 Tl 3.36-3.72
Tl: 0.5000 0.0000 0.2798  2 Cl 3.32, 6 Tl 3.36-3.72
Tl: 0.5000 0.0000 0.7202  2 Cl 3.32, 6 Tl 3.36-3.72
Tl: 0.5000 0.5000 0.5000  4 Cl 3.28
Cl: 0.0000 0.0000 0.5000  8 Tl 3.28-3.32
Cl: 0.5000 0.5000 0.0000  8 Tl 3.28-3.32

=====

VASP calculation (GGA-PBE) on crystalline Nb2SiNiAs at its relaxed geometry.

Calculated values
Energy   -33.03 eV for the cell shown
Total moment   0.000 μB per cell
Crystal system   tetragonal
Raw formation energy   57.2 kJ per mole of atoms

Cell lengths 4.7986, 4.7986, 4.1604 Å; angles 90.00, 90.00, 90.00 degrees
With the nearest neighbours (Å) after each atom.
Fractional positions:
Nb: 0.0000 0.5000 0.0000  2 As 2.40
Nb: 0.5000 0.0000 0.0000  2 As 2.40
Si: 0.0000 0.0000 0.5000  8 Nb 3.18, 4 Ni 3.39
Ni: 0.5000 0.5000 0.5000  2 As 2.08
As: 0.5000 0.5000 0.0000  2 Ni 2.08

=====

VASP calculation (GGA-PBE) on crystalline Fe2NiMoPb at its relaxed geometry.

Calculated values
E_form   1.59 eV per atom
Energy   -29.32 eV for the cell shown
Total moment   3.986 μB per cell
Crystal system   tetragonal

Cell lengths 4.4496, 4.4496, 5.3209 Å; angles 90.00, 90.00, 90.00 degrees
With the nearest neighbours (Å) after each atom.
Fractional positions:
Fe: 0.0000 0.5000 0.0000  2 Mo 2.22
Fe: 0.5000 0.0000 0.0000  2 Mo 2.22
Ni: 0.0000 0.0000 0.5000  4 Pb 3.15, 8 Fe 3.47
Mo: 0.5000 0.5000 0.0000  4 Fe 2.22
Pb: 0.5000 0.5000 0.5000  2 Mo 2.66

=====

VASP calculation (GGA-PBE) on crystalline Al3SbO at its relaxed geometry.

Calculated values
E above lowest polymorph   1479 meV per atom
Energy   -14.40 eV for the cell shown
Total moment   0.000 μB per cell
Crystal system   cubic
Raw formation energy   114.0 kJ per mole of atoms

Cell lengths 5.3176, 5.3176, 5.3176 Å; angles 90.00, 90.00, 90.00 degrees
With the nearest neighbours (Å) after each atom.
Fractional positions:
Al: 0.0000 0.0000 0.5000  2 Sb 2.66
Al: 0.0000 0.5000 0.0000  2 Sb 2.66
Al: 0.5000 0.0000 0.0000  2 Sb 2.66
Sb: 0.0000 0.0000 0.0000  6 Al 2.66
O: 0.5000 0.5000 0.5000  12 Al 3.76

=====

VASP calculation (GGA-PBE) on crystalline BaFeIN2 at its relaxed geometry.

Calculated values
E above lowest polymorph   0 meV per atom
Energy   -24.82 eV for the cell shown
Total moment   1.123 μB per cell
Crystal system   tetragonal
Raw formation energy   72.7 kJ per mole of atoms

Cell lengths 4.3010, 4.3010, 5.1726 Å; angles 90.00, 90.00, 90.00 degrees
With the nearest neighbours (Å) after each atom.
Fractional positions:
Ba: 0.0000 0.0000 0.0000  4 I 3.04, 8 N 3.36
Fe: 0.5000 0.5000 0.5000  4 N 2.15
I: 0.5000 0.5000 0.0000  2 Fe 2.59
N: 0.0000 0.5000 0.5000  2 Fe 2.15
N: 0.5000 0.0000 0.5000  2 Fe 2.15